(1)
Material: LiZrZn3
Method: DFT, GGA-PBE
State: optimized geometry

- Total magnetization: 0.000 μB/f.u.
- Relative energy among the computed polymorphs: 0.0 meV per atom
- SG: Pm-3m, No. 221
- Formation enthalpy at 0 K: 1.72 kcal/mol of atoms

a b c (Å): 4.3082 4.3082 4.3082
angles (deg): 90.00 90.00 90.00
With the nearest neighbours (Å) after each atom.
Fractional coordinates of all 5 atoms:
Li1 0.0000 0.0000 0.0000  6 Zn 2.15
Zr1 0.5000 0.5000 0.5000  12 Zn 3.05
Zn1 0.0000 0.0000 0.5000  2 Li 2.15
Zn2 0.0000 0.5000 0.0000  2 Li 2.15
Zn3 0.5000 0.0000 0.0000  2 Li 2.15

=====

(2)
Material: LiZr3
Method: DFT, GGA-PBE
State: optimized geometry

- Total magnetization: 0.000 μB/f.u.
- Relative energy among the computed polymorphs: 0.0 meV per atom
- SG: P4/mmm, No. 123
- Formation enthalpy at 0 K: 2.61 kcal/mol of atoms

a b c (Å): 3.1998 3.1998 8.5162
angles (deg): 90.00 90.00 90.00
With the nearest neighbours (Å) after each atom.
Fractional coordinates of all 4 atoms:
Li1 0.0000 0.0000 0.0000  8 Zr 3.07, 4 Li 3.20
Zr1 0.0000 0.0000 0.5000  12 Zr 3.14-3.20
Zr2 0.5000 0.5000 0.2441  4 Li 3.07, 8 Zr 3.14-3.20
Zr3 0.5000 0.5000 0.7559  4 Li 3.07, 8 Zr 3.14-3.20

=====

Question: Which value of formation enthalpy at 0 K does entry 2 give?
Answer: 2.61 kcal/mol of atoms